4
Lattice="-2.627 1.492 5.281 -0.157 3.079 5.245 -2.531 4.024 3.797" Properties=species:S:1:pos:R:3 comment="PBE with a Hubbard U TiNiO2, relaxed" e_above_lowest_polymorph_mev_per_atom=0 spacegroup="R-3m (166)" pbc="T T T"
Ti -2.658 4.297 7.161
Ni 0.000 0.000 0.000
O -0.557 0.900 1.501
O -4.759 7.694 12.822